TaAu2: optimized geometry, PBE.

Cell: 2.7957 4.2540 19.5828 Å, 90.00 90.00 90.00°
Last column: nearest neighbours and their distance in Å.
Space group Imma (No. 74)
One atom of each set of equivalent atoms:
Ta1 0.0000 0.2500 0.1125 (multiplicity 4)  2 Ta 2.80, 8 Au 2.89-2.93
Au1 0.0000 0.2500 0.5426 (multiplicity 4)  5 Au 2.70-2.83, 4 Ta 2.89
Au2 0.0000 0.2500 0.6871 (multiplicity 4)  5 Au 2.80-2.83, 4 Ta 2.93

Computed properties:
ΔH_f (0 K) = 220 meV per atom
Final energy = -5.92 eV/atom